Entry 1:
Material: NaPb2Au2
Method: DFT, GGA-PBE
State: optimized geometry

Summary:
**DFT total energy**: -3.12 eV/atom
**ρ**: 9.49 Mg/m³

Cell lengths 4.948, 4.948, 11.881 Å; angles 90.00, 90.00, 90.00 degrees
Space group I4/mmm (No. 139)
Symmetry-distinct sites (fractional):
Na 0.000 0.000 0.000 (multiplicity 2)
Pb 0.000 0.000 0.369 (multiplicity 4)
Au 0.000 0.500 0.250 (multiplicity 4)

Entry 2:
Material: LuTlCoSe3
Method: DFT, GGA-PBE
State: optimized geometry

Summary:
**Offset from the most stable computed form**: 0.0 kJ/mol of atoms
**DFT total energy**: -4.99 eV/atom
**ρ**: 7.01 Mg/m³

Cell lengths 9.165, 3.928, 9.428 Å; angles 90.00, 109.62, 90.00 degrees
Space group P2_1/m (No. 11)
Symmetry-distinct sites (fractional):
Lu 0.170 0.250 0.143 (multiplicity 2)
Tl 0.298 0.750 0.775 (multiplicity 2)
Co 0.424 0.750 0.410 (multiplicity 2)
Se 0.037 0.250 0.832 (multiplicity 2)
Se 0.310 0.250 0.469 (multiplicity 2)
Se 0.388 0.750 0.144 (multiplicity 2)

Entry 3:
Material: Ga2CuNi
Method: DFT, GGA-PBE
State: optimized geometry

Summary:
**DFT total energy**: -3.87 eV/atom
**ρ**: 8.12 Mg/m³

Cell lengths 5.982, 5.982, 5.982 Å; angles 90.00, 90.00, 90.00 degrees
Space group F-43m (No. 216)
Symmetry-distinct sites (fractional):
Ga 0.000 0.000 0.000 (multiplicity 4)
Ga 0.250 0.250 0.250 (multiplicity 4)
Cu 0.250 0.250 0.750 (multiplicity 4)
Ni 0.000 0.000 0.500 (multiplicity 4)

Entry 4:
Material: Pu2InOs
Method: DFT, GGA-PBE
State: optimized geometry

Summary:
**DFT total energy**: -10.81 eV/atom
**ρ**: 14.63 Mg/m³

Cell lengths 3.203, 3.203, 8.777 Å; angles 90.00, 90.00, 90.00 degrees
Space group P4/mmm (No. 123)
Symmetry-distinct sites (fractional):
Pu 0.000 0.000 0.208 (multiplicity 2)
In 0.500 0.500 0.500 (multiplicity 1)
Os 0.500 0.500 0.000 (multiplicity 1)

Entry 5:
Material: CdHg2
Method: DFT, GGA-PBE
State: optimized geometry

Summary:
**Offset from the most stable computed form**: 0.0 kJ/mol of atoms
**DFT total energy**: -0.47 eV/atom
**ΔH_f (0 K)**: 2.2 kJ per mole of atoms
**ρ**: 11.62 Mg/m³

Cell lengths 4.061, 4.061, 8.904 Å; angles 90.00, 90.00, 90.00 degrees
Space group I4/mmm (No. 139)
Symmetry-distinct sites (fractional):
Cd 0.000 0.000 0.000 (multiplicity 2)
Hg 0.000 0.000 0.333 (multiplicity 4)

Entry 6:
Material: TaSi2C
Method: DFT, GGA-PBE
State: optimized geometry

Summary:
**DFT total energy**: -7.71 eV/atom
**ρ**: 8.35 Mg/m³

Cell lengths 2.8943, 2.8943, 13.6608 Å; angles 90.00, 90.00, 120.00 degrees
Space group P6_3/mmc (No. 194)
Symmetry-distinct sites (fractional):
Ta 0.3333 0.6667 0.2500 (multiplicity 2)
Si 0.3333 0.6667 0.5869 (multiplicity 4)
C 0.0000 0.0000 0.0000 (multiplicity 2)

Entry 7:
Material: NaTbNiS3
Method: DFT, GGA-PBE
State: optimized geometry

Summary:
**DFT total energy**: -5.23 eV/atom
**ρ**: 4.09 Mg/m³

Cell lengths 7.996, 3.873, 9.109 Å; angles 90.00, 103.94, 90.00 degrees
Space group P2_1/m (No. 11)
Symmetry-distinct sites (fractional):
Na 0.181 0.250 0.192 (multiplicity 2)
Tb 0.331 0.750 0.847 (multiplicity 2)
Ni 0.083 0.250 0.588 (multiplicity 2)
S 0.091 0.250 0.842 (multiplicity 2)
S 0.194 0.750 0.530 (multiplicity 2)
S 0.429 0.750 0.156 (multiplicity 2)

Entry 8:
Material: RbSmSb
Method: DFT, GGA-PBE
State: optimized geometry

Summary:
**DFT total energy**: -3.27 eV/atom
**ρ**: 5.23 Mg/m³

Cell lengths 7.685, 7.685, 7.685 Å; angles 90.00, 90.00, 90.00 degrees
Space group F-43m (No. 216)
Symmetry-distinct sites (fractional):
Rb 0.000 0.000 0.000 (multiplicity 4)
Sm 0.250 0.250 0.250 (multiplicity 4)
Sb 0.000 0.000 0.500 (multiplicity 4)